Record 1
# AcZrTe2 | the Alexandria database | PBE | optimized geometry
# - energy relative to the elements, uncorrected (eV/atom) = -0.95
data_AcZrTe2
_cell_length_a 3.773
_cell_length_b 3.773
_cell_length_c 7.824
_cell_angle_alpha 90.00
_cell_angle_beta 90.00
_cell_angle_gamma 90.00
_space_group_name_H-M_alt 'P 4/m m m'
_space_group_IT_number 123
_space_group_name_Hall '-P 4 2'
loop_
_atom_site_label
_atom_site_type_symbol
_atom_site_fract_x
_atom_site_fract_y
_atom_site_fract_z
_atom_site_occupancy
Ac1 Ac 0.000 0.000 0.000 1
Zr1 Zr 0.000 0.000 0.500 1
Te1 Te 0.500 0.500 0.283 1



Record 2
# SbI2ClF | the Alexandria database | PBE | optimized geometry
# - energy relative to the elements, uncorrected (eV/atom) = -0.12
data_SbI2ClF
_cell_length_a 5.966
_cell_length_b 5.966
_cell_length_c 4.246
_cell_angle_alpha 90.00
_cell_angle_beta 90.00
_cell_angle_gamma 90.00
_space_group_name_H-M_alt 'P 4/m m m'
_space_group_IT_number 123
_space_group_name_Hall '-P 4 2'
loop_
_atom_site_label
_atom_site_type_symbol
_atom_site_fract_x
_atom_site_fract_y
_atom_site_fract_z
_atom_site_occupancy
Sb1 Sb 0.000 0.000 0.000 1
I1 I 0.000 0.500 0.500 1
Cl1 Cl 0.500 0.500 0.000 1
F1 F 0.000 0.000 0.500 1



Record 3
# Tb4Pm15Sc | the Alexandria database | PBE | optimized geometry
# - formation energy from the elements (meV/atom) = 19
data_Tb4Pm15Sc
_cell_length_a 5.116
_cell_length_b 5.116
_cell_length_c 25.499
_cell_angle_alpha 90.00
_cell_angle_beta 90.00
_cell_angle_gamma 90.00
_space_group_name_H-M_alt 'P 4/m m m'
_space_group_IT_number 123
_space_group_name_Hall '-P 4 2'
loop_
_atom_site_label
_atom_site_type_symbol
_atom_site_fract_x
_atom_site_fract_y
_atom_site_fract_z
_atom_site_occupancy
Tb1 Tb 0.000 0.000 0.101 1
Tb2 Tb 0.000 0.000 0.302 1
Pm1 Pm 0.000 0.500 0.000 1
Pm2 Pm 0.000 0.500 0.202 1
Pm3 Pm 0.000 0.500 0.403 1
Pm4 Pm 0.500 0.500 0.101 1
Pm5 Pm 0.500 0.500 0.303 1
Pm6 Pm 0.500 0.500 0.500 1
Sc1 Sc 0.000 0.000 0.500 1



Record 4
# PmPr3Tm4 | the Alexandria database | PBE | optimized geometry
# - formation energy from the elements (meV/atom) = 30
data_PmPr3Tm4
_cell_length_a 11.521
_cell_length_b 7.325
_cell_length_c 6.280
_cell_angle_alpha 90.00
_cell_angle_beta 90.00
_cell_angle_gamma 90.00
_space_group_name_H-M_alt 'P m n 21'
_space_group_IT_number 31
loop_
_space_group_symop_operation_xyz
'x,y,z'
'-x+1/2,-y,z+1/2'
'-x,y,z'
'x+1/2,-y,z+1/2'
loop_
_atom_site_label
_atom_site_type_symbol
_atom_site_fract_x
_atom_site_fract_y
_atom_site_fract_z
_atom_site_occupancy
Pm1 Pm 0.000 0.131 0.000 1
Pr1 Pr 0.000 0.871 0.498 1
Pr2 Pr 0.249 0.871 0.839 1
Tm1 Tm 0.000 0.381 0.503 1
Tm2 Tm 0.000 0.618 0.002 1
Tm3 Tm 0.250 0.381 0.836 1



Record 5
# AgTe2Ru | the Alexandria database | PBE | optimized geometry
# - energy relative to the elements, uncorrected (eV/atom) = 0.42
data_AgTe2Ru
_cell_length_a 6.395
_cell_length_b 7.409
_cell_length_c 3.481
_cell_angle_alpha 90.00
_cell_angle_beta 90.00
_cell_angle_gamma 90.00
_space_group_name_H-M_alt 'C m m m'
_space_group_IT_number 65
_space_group_name_Hall '-C 2 2'
loop_
_atom_site_label
_atom_site_type_symbol
_atom_site_fract_x
_atom_site_fract_y
_atom_site_fract_z
_atom_site_occupancy
Ag1 Ag 0.000 0.000 0.000 1
Te1 Te 0.250 0.250 0.500 1
Ru1 Ru 0.000 0.500 0.000 1



Record 6
# La2CdFeC | the Alexandria database | PBE | optimized geometry
# - formation energy from the elements (meV/atom) = -172
data_La2CdFeC
_cell_length_a 5.432
_cell_length_b 5.432
_cell_length_c 3.740
_cell_angle_alpha 90.00
_cell_angle_beta 90.00
_cell_angle_gamma 90.00
_space_group_name_H-M_alt 'P 4/m m m'
_space_group_IT_number 123
_space_group_name_Hall '-P 4 2'
loop_
_atom_site_label
_atom_site_type_symbol
_atom_site_fract_x
_atom_site_fract_y
_atom_site_fract_z
_atom_site_occupancy
La1 La 0.000 0.500 0.000 1
Cd1 Cd 0.000 0.000 0.500 1
Fe1 Fe 0.500 0.500 0.500 1
C1 C 0.500 0.500 0.000 1